# AuSe meta-GGA SCAN single point on PBEsol structure
# DOS at the Fermi energy = 5.30 states/eV/cell
# DFT total energy = -44.3912 eV per atom
# total moment = 0.00 μB/cell
data_AuSe
_symmetry_space_group_name_H-M 'C 1 m 1'
_symmetry_Int_Tables_number 8
_cell_length_a 10.7596
_cell_length_b 2.7882
_cell_length_c 7.8428
_cell_angle_alpha 90.00
_cell_angle_beta 91.07
_cell_angle_gamma 90.00
loop_
_symmetry_equiv_pos_as_xyz
'x,y,z'
'x,-y,z'
'x+1/2,y+1/2,z'
'x+1/2,-y+1/2,z'
loop_
_atom_site_label
_atom_site_fract_x
_atom_site_fract_y
_atom_site_fract_z
Au1 0.0000 0.0000 0.0000
Au2 0.0026 0.5000 0.6854
Au3 0.2616 0.0000 0.0159
Se1 0.2512 0.0000 0.6979
Se2 0.2586 0.5000 0.3126
Se3 0.4989 0.5000 0.3355